AlAsW4: relaxed, PBE.

Values from the calculation:
**Space-group type**: No. 216
**Energy of formation**: 3.94 eV per formula unit

Cell lengths 5.3097, 5.3097, 5.3097 Å; angles 60.00, 60.00, 60.00 degrees
With the nearest neighbours (Å) after each atom.
Element x y z (fractional)
1 W 0.6246 0.6246 0.6246  6 W 2.65-2.66
2 W 0.6246 0.1263 0.6246  6 W 2.65-2.66
3 W 0.6246 0.6246 0.1263  6 W 2.65-2.66
4 W 0.1263 0.6246 0.6246  6 W 2.65-2.66
5 As 0.0000 0.0000 0.0000  12 W 3.11, 4 Al 3.25
6 Al 0.2500 0.2500 0.2500  12 W 3.11, 4 As 3.25

Ac2Al3Ga4Ag: relaxed, PBE.

Values from the calculation:
**Space-group type**: No. 115
**Energy of formation**: -4.44 eV per formula unit

Cell lengths 4.5210, 4.5210, 10.7919 Å; angles 90.00, 90.00, 90.00 degrees
With the nearest neighbours (Å) after each atom.
Element x y z (fractional)
1 Al 0.0000 0.5000 0.1277  5 Ga 2.56-2.65
2 Al 0.0000 0.0000 0.5000  4 Ga 2.69
3 Al 0.5000 0.0000 0.8723  5 Ga 2.56-2.65
4 Ac 0.5000 0.0000 0.2478  8 Ga 3.44-3.50, 6 Al 3.45-3.54, 2 Ag 3.54
5 Ac 0.0000 0.5000 0.7522  8 Ga 3.44-3.50, 6 Al 3.45-3.54, 2 Ag 3.54
6 Ag 0.5000 0.5000 0.5000  4 Ga 2.69
7 Ga 0.0000 0.5000 0.3651  3 Al 2.56-2.69, 2 Ag 2.69
8 Ga 0.5000 0.0000 0.6349  3 Al 2.56-2.69, 2 Ag 2.69
9 Ga 0.5000 0.5000 0.0000  4 Al 2.65
10 Ga 0.0000 0.0000 0.0000  4 Al 2.65

Na2MgH6: relaxed, PBE.

Values from the calculation:
**Space-group type**: No. 225
**E**: -21.39 eV per cell

Cell lengths 5.0460, 5.0460, 5.0460 Å; angles 60.00, 60.00, 60.00 degrees
With the nearest neighbours (Å) after each atom.
Element x y z (fractional)
1 Na 0.2500 0.2500 0.2500  12 H 2.53
2 Na 0.7500 0.7500 0.7500  12 H 2.53
3 Mg 0.0000 0.0000 0.0000  6 H 1.94
4 H 0.2723 0.7277 0.7277  1 Mg 1.94
5 H 0.2723 0.2723 0.7277  1 Mg 1.94
6 H 0.7277 0.2723 0.2723  1 Mg 1.94
7 H 0.7277 0.2723 0.7277  1 Mg 1.94
8 H 0.7277 0.7277 0.2723  1 Mg 1.94
9 H 0.2723 0.7277 0.2723  1 Mg 1.94